Entry 1:
6
Lattice="2.531 -4.384 0.000 2.531 4.384 0.000 0.000 0.000 4.504" Properties=species:S:1:pos:R:3 comment="Ir5Pt | Alexandria via LeMat-Bulk | PBE | relaxed" mass_density_g_cm3=19.21 e_tot_ev_per_atom=-7.704 e_form_ev_per_atom=0.687 pbc="T T T"
Pt 0.000 0.000 0.000
Ir 1.265 2.192 2.252
Ir 2.531 1.461 0.000
Ir 1.265 -2.192 2.252
Ir 2.531 0.000 2.252
Ir 2.531 -1.461 0.000


Entry 2:
6
Lattice="-1.857 -4.564 2.502 -4.502 -2.567 -1.920 0.471 -4.907 -2.498" Properties=species:S:1:pos:R:3 comment="Ta4CrPb | Alexandria via LeMat-Bulk | PBE | relaxed" mass_density_g_cm3=13.68 e_tot_ev_per_atom=-9.491 e_form_ev_per_atom=0.633 pbc="T T T"
Ta -3.136 -6.793 0.528
Pb 0.000 0.000 0.000
Ta -2.210 -4.519 -0.719
Ta -1.976 -6.964 -1.964
Cr -4.416 -9.028 -1.437
Ta -4.454 -5.798 -1.676


Entry 3:
4
Lattice="4.796 0.001 0.000 -2.407 4.679 0.007 0.000 0.819 2.651" Properties=species:S:1:pos:R:3 comment="MoRu | Alexandria via LeMat-Bulk | PBE | relaxed" mass_density_g_cm3=11.00 e_tot_ev_per_atom=-10.025 e_form_ev_per_atom=0.029 pbc="T T T"
Ru 1.590 2.911 2.005
Ru 2.402 0.453 1.312
Mo -0.806 2.614 0.645
Mo 2.392 4.611 0.028


Entry 4:
20
Lattice="6.804 -0.660 -0.637 1.571 5.866 -0.293 1.571 -0.084 5.873" Properties=species:S:1:pos:R:3 comment="AgHF3 | Alexandria via LeMat-Bulk | PBE | relaxed" mass_density_g_cm3=4.47 e_tot_ev_per_atom=-3.604 pbc="T T T"
F 4.792 1.648 1.642
F 5.666 3.425 -0.303
H 7.428 5.296 2.258
Ag 3.272 -0.173 5.634
F 4.280 1.696 5.245
F 5.153 3.474 3.300
Ag 3.272 2.728 2.628
H 5.919 2.346 -0.589
Ag 6.674 5.294 -0.692
F 2.264 0.150 3.752
F 2.208 3.959 -0.066
F 7.737 1.162 5.008
F 5.610 -0.255 3.641
F 8.555 3.092 3.036
Ag 6.674 2.393 2.314
H 4.026 2.775 5.531
F 4.336 5.376 1.301
F 1.390 2.030 1.906
H 2.518 -0.174 2.684
F 7.681 4.972 1.190


Entry 5:
13
Lattice="-1.246 3.242 4.460 -1.452 5.410 -0.756 -5.333 1.647 0.895" Properties=species:S:1:pos:R:3 comment="Al5O8 | Alexandria via LeMat-Bulk | PBE | relaxed" mass_density_g_cm3=3.42 e_tot_ev_per_atom=-7.216 e_form_raw_ev_per_fu=-35.43 pbc="T T T"
Al -1.723 4.028 0.173
O -5.785 4.656 2.164
O -3.719 6.659 1.285
Al -4.015 5.149 2.300
O -7.133 9.149 4.085
O -6.444 7.355 1.618
O -3.610 5.505 4.061
O -2.947 3.779 1.688
O -6.330 6.156 4.504
Al -1.617 2.917 2.846
Al -0.979 1.256 0.561
Al -3.711 2.099 1.019
O -4.183 8.238 3.590


Entry 6:
6
Lattice="-3.757 -3.976 -2.184 2.301 -2.738 4.236 -5.294 1.200 0.169" Properties=species:S:1:pos:R:3 comment="LaZrCu | Alexandria via LeMat-Bulk | PBE | relaxed" mass_density_g_cm3=7.11 e_tot_ev_per_atom=-5.829 e_form_ev_per_atom=0.028 pbc="T T T"
La -5.225 -2.929 0.944
La -3.034 -5.635 1.508
Cu -3.494 -1.294 -0.756
Zr -8.132 -3.163 -1.187
Cu -6.180 -0.684 -0.670
Zr -2.152 -1.771 1.711


Repeat the third record exactly.
4
Lattice="4.796 0.001 0.000 -2.407 4.679 0.007 0.000 0.819 2.651" Properties=species:S:1:pos:R:3 comment="MoRu | Alexandria via LeMat-Bulk | PBE | relaxed" mass_density_g_cm3=11.00 e_tot_ev_per_atom=-10.025 e_form_ev_per_atom=0.029 pbc="T T T"
Ru 1.590 2.911 2.005
Ru 2.402 0.453 1.312
Mo -0.806 2.614 0.645
Mo 2.392 4.611 0.028